No. 1
{
  "formula": "SbPd2Br8",
  "functional": "GGA-PBE",
  "state": "optimized geometry",
  "lattice_angstrom": [[7.216, -3.667, 0.000], [7.216, 3.667, 0.000], [-0.953, 0.000, 8.221]],
  "species": ["Sb", "Pd", "Pd", "Br", "Br", "Br", "Br", "Br", "Br", "Br", "Br"],
  "fractional_positions": [[0.000, 0.000, 0.000], [0.101, 0.101, 0.667], [0.899, 0.899, 0.333], [0.075, 0.075, 0.343], [0.152, 0.620, 0.123], [0.266, 0.266, 0.656], [0.380, 0.848, 0.877], [0.620, 0.152, 0.123], [0.734, 0.734, 0.344], [0.848, 0.380, 0.877], [0.925, 0.925, 0.657]],
  "dos_at_fermi_per_ev_cell": 8.057,
  "spacegroup": "C2/m",
  "total_magnetization_mub_per_cell": 0.000,
  "formation_energy_uncorrected_ev_per_fu": -2.31
}


No. 2
{
  "formula": "SbPdBr",
  "functional": "GGA-PBE",
  "state": "optimized geometry",
  "lattice_angstrom": [[4.060, 0.000, 0.000], [-2.019, 3.528, 0.000], [-0.391, -2.086, 11.749]],
  "species": ["Sb", "Sb", "Pd", "Pd", "Br", "Br"],
  "fractional_positions": [[0.000, 0.000, 0.000], [0.236, 0.523, 0.753], [0.627, 0.275, 0.899], [0.856, 0.788, 0.634], [0.087, 0.123, 0.215], [0.476, 0.053, 0.517]],
  "dos_at_fermi_per_ev_cell": 2.737,
  "spacegroup": "P1",
  "total_magnetization_mub_per_cell": 0.000,
  "formation_energy_uncorrected_ev_per_fu": -0.97
}


No. 3
{
  "formula": "SbPdBr2",
  "functional": "GGA-PBE",
  "state": "optimized geometry",
  "lattice_angstrom": [[1.867, 1.078, 8.970], [-1.867, 1.078, 8.970], [0.000, -2.155, 8.970]],
  "species": ["Sb", "Pd", "Br", "Br"],
  "fractional_positions": [[0.000, 0.000, 0.000], [0.500, 0.500, 0.500], [0.105, 0.105, 0.105], [0.895, 0.895, 0.895]],
  "dos_at_fermi_per_ev_cell": 3.514,
  "spacegroup": "R-3m",
  "total_magnetization_mub_per_cell": 0.674,
  "de_polymorph_ev_per_atom": 0.0000,
  "formation_energy_uncorrected_ev_per_fu": 0.11
}


No. 4
{
  "formula": "SbPdBr2",
  "functional": "GGA-PBE",
  "state": "optimized geometry",
  "lattice_angstrom": [[0.000, 3.583, 3.583], [3.583, 0.000, 3.583], [3.583, 3.583, 0.000]],
  "species": ["Sb", "Pd", "Br", "Br"],
  "fractional_positions": [[0.000, 0.000, 0.000], [0.500, 0.500, 0.500], [0.250, 0.250, 0.250], [0.750, 0.750, 0.750]],
  "dos_at_fermi_per_ev_cell": 1.562,
  "spacegroup": "Fm-3m",
  "total_magnetization_mub_per_cell": 0.000,
  "de_polymorph_ev_per_atom": 0.1928,
  "formation_energy_uncorrected_ev_per_fu": 0.88
}


No. 5
{
  "formula": "SbPdBr2",
  "functional": "GGA-PBE",
  "state": "optimized geometry",
  "lattice_angstrom": [[-2.416, 2.416, 9.052], [2.416, -2.416, 9.052], [2.416, 2.416, -9.052]],
  "species": ["Sb", "Sb", "Pd", "Pd", "Br", "Br", "Br", "Br"],
  "fractional_positions": [[0.000, 0.000, 0.000], [0.750, 0.250, 0.500], [0.250, 0.750, 0.500], [0.500, 0.500, 0.000], [0.143, 0.625, 0.018], [0.375, 0.393, 0.518], [0.607, 0.125, 0.982], [0.875, 0.857, 0.482]],
  "dos_at_fermi_per_ev_cell": 5.765,
  "spacegroup": "I-42d",
  "total_magnetization_mub_per_cell": 0.000,
  "de_polymorph_ev_per_atom": 0.1215,
  "formation_energy_uncorrected_ev_per_fu": 0.60
}


No. 6
{
  "formula": "Sb2PdBr2",
  "functional": "GGA-PBE",
  "state": "optimized geometry",
  "lattice_angstrom": [[7.018, 0.000, 0.000], [0.000, 7.018, 0.000], [0.000, 0.000, 5.586]],
  "species": ["Sb", "Sb", "Sb", "Sb", "Pd", "Pd", "Br", "Br", "Br", "Br"],
  "fractional_positions": [[0.152, 0.348, 0.000], [0.348, 0.848, 0.000], [0.652, 0.152, 0.000], [0.848, 0.652, 0.000], [0.000, 0.000, 0.000], [0.500, 0.500, 0.000], [0.187, 0.313, 0.500], [0.313, 0.813, 0.500], [0.687, 0.187, 0.500], [0.813, 0.687, 0.500]],
  "dos_at_fermi_per_ev_cell": 1.681,
  "spacegroup": "P4/mbm",
  "total_magnetization_mub_per_cell": 0.000,
  "formation_energy_uncorrected_ev_per_fu": -1.39
}


No. 7
{
  "formula": "SbPdBr3",
  "functional": "GGA-PBE",
  "state": "optimized geometry",
  "lattice_angstrom": [[5.130, 0.000, 0.000], [0.000, 5.130, 0.000], [0.000, 0.000, 5.130]],
  "species": ["Sb", "Pd", "Br", "Br", "Br"],
  "fractional_positions": [[0.000, 0.000, 0.000], [0.500, 0.500, 0.500], [0.000, 0.500, 0.500], [0.500, 0.000, 0.500], [0.500, 0.500, 0.000]],
  "dos_at_fermi_per_ev_cell": 3.574,
  "spacegroup": "Pm-3m",
  "total_magnetization_mub_per_cell": 0.000,
  "de_polymorph_ev_per_atom": 0.0000,
  "formation_energy_uncorrected_ev_per_fu": 0.49
}


No. 8
{
  "formula": "SbPdSeBr2",
  "functional": "GGA-PBE",
  "state": "optimized geometry",
  "lattice_angstrom": [[5.020, 0.000, 0.000], [0.000, 5.020, 0.000], [0.000, 0.000, 5.120]],
  "species": ["Sb", "Pd", "Se", "Br", "Br"],
  "fractional_positions": [[0.000, 0.000, 0.000], [0.500, 0.500, 0.500], [0.500, 0.500, 0.000], [0.000, 0.500, 0.500], [0.500, 0.000, 0.500]],
  "dos_at_fermi_per_ev_cell": 2.698,
  "spacegroup": "P4/mmm",
  "total_magnetization_mub_per_cell": 0.000,
  "de_polymorph_ev_per_atom": 0.0000,
  "formation_energy_uncorrected_ev_per_fu": 0.71
}


No. 9
{
  "formula": "TaSbPd2Br",
  "functional": "GGA-PBE",
  "state": "optimized geometry",
  "lattice_angstrom": [[4.924, 0.000, 0.000], [0.000, 4.924, 0.000], [0.000, 0.000, 5.413]],
  "species": ["Ta", "Sb", "Pd", "Pd", "Br"],
  "fractional_positions": [[0.000, 0.000, 0.000], [0.500, 0.500, 0.500], [0.000, 0.500, 0.500], [0.500, 0.000, 0.500], [0.500, 0.500, 0.000]],
  "dos_at_fermi_per_ev_cell": 3.765,
  "spacegroup": "P4/mmm",
  "total_magnetization_mub_per_cell": 2.869,
  "formation_energy_uncorrected_ev_per_fu": 5.91
}


No. 10
{
  "formula": "TlSbPdBr2",
  "functional": "GGA-PBE",
  "state": "optimized geometry",
  "lattice_angstrom": [[5.793, 0.000, 0.000], [0.000, 5.793, 0.000], [0.000, 0.000, 5.055]],
  "species": ["Tl", "Sb", "Pd", "Br", "Br"],
  "fractional_positions": [[0.000, 0.000, 0.000], [0.500, 0.500, 0.500], [0.500, 0.500, 0.000], [0.000, 0.500, 0.500], [0.500, 0.000, 0.500]],
  "dos_at_fermi_per_ev_cell": 1.181,
  "spacegroup": "P4/mmm",
  "total_magnetization_mub_per_cell": 0.000,
  "formation_energy_uncorrected_ev_per_fu": -1.06
}


No. 11
{
  "formula": "Zr2SbPdBr",
  "functional": "GGA-PBE",
  "state": "optimized geometry",
  "lattice_angstrom": [[5.295, 0.000, 0.000], [0.000, 5.295, 0.000], [0.000, 0.000, 4.870]],
  "species": ["Zr", "Zr", "Sb", "Pd", "Br"],
  "fractional_positions": [[0.000, 0.500, 0.000], [0.500, 0.000, 0.000], [0.000, 0.000, 0.500], [0.000, 0.000, 0.000], [0.500, 0.500, 0.500]],
  "dos_at_fermi_per_ev_cell": 6.021,
  "spacegroup": "P4/mmm",
  "total_magnetization_mub_per_cell": 0.789,
  "formation_energy_uncorrected_ev_per_fu": 1.61
}


No. 12
{
  "formula": "ScPdBr2",
  "functional": "GGA-PBE",
  "state": "optimized geometry",
  "lattice_angstrom": [[1.910, 1.103, 8.419], [-1.910, 1.103, 8.419], [0.000, -2.205, 8.419]],
  "species": ["Sc", "Pd", "Br", "Br"],
  "fractional_positions": [[0.000, 0.000, 0.000], [0.500, 0.500, 0.500], [0.100, 0.100, 0.100], [0.900, 0.900, 0.900]],
  "dos_at_fermi_per_ev_cell": 6.286,
  "spacegroup": "R-3m",
  "total_magnetization_mub_per_cell": 0.572,
  "de_polymorph_ev_per_atom": 0.4414,
  "formation_energy_uncorrected_ev_per_fu": -1.00
}